Record 1
This record from Alexandria describes an optimized crystal structure of TiAgH. The functional is PBE.

Summary:
total moment: 0.0 μB per cell
E_tot: -4.761 eV/atom
DOS(E_F): 9.38 states/eV per cell
crystal system: tetragonal

a b c (Å): 4.1173 9.1459 4.1113
angles (deg): 90.00 90.00 103.01
With the nearest neighbours (Å) after each atom.
Fractional positions:
H1 0.7500 0.0000 0.2500  4 Ti 1.99, 4 H 2.06
H2 0.7500 0.0000 0.7500  4 Ti 1.99, 4 H 2.06
H3 0.2500 0.0000 0.2500  4 Ti 1.99, 4 H 2.06
H4 0.2500 0.0000 0.7500  4 Ti 1.99, 4 H 2.06
Ag1 0.3102 0.6204 0.0000  4 Ti 2.89, 8 Ag 2.91-2.97
Ag2 0.1898 0.3796 0.5000  4 Ti 2.89, 8 Ag 2.91-2.97
Ag3 0.6898 0.3796 0.0000  4 Ti 2.89, 8 Ag 2.91-2.97
Ag4 0.8102 0.6204 0.5000  4 Ti 2.89, 8 Ag 2.91-2.97
Ti1 0.4242 0.8484 0.5000  4 H 1.99
Ti2 0.5758 0.1516 0.5000  4 H 1.99
Ti3 0.0758 0.1516 0.0000  4 H 1.99
Ti4 0.9242 0.8484 0.0000  4 H 1.99


Record 2
This record from Alexandria describes an optimized crystal structure of Ti3AgH. The functional is PBE.

Summary:
total moment: 4.3 μB per cell
E_tot: -4.332 eV/atom
DOS(E_F): 9.68 states/eV per cell
crystal system: cubic

a b c (Å): 4.9668 4.9668 4.9668
angles (deg): 90.00 90.00 90.00
With the nearest neighbours (Å) after each atom.
Fractional positions:
Ag1 0.0000 0.0000 0.0000  6 Ti 2.48
Ti1 0.0000 0.0000 0.5000  2 Ag 2.48
Ti2 0.5000 0.0000 0.0000  2 Ag 2.48
Ti3 0.0000 0.5000 0.0000  2 Ag 2.48
H1 0.5000 0.5000 0.5000  12 Ti 3.51


Record 3
This record from Alexandria describes an optimized crystal structure of Ti2AgH. The functional is PBE.

Summary:
total moment: 0.0 μB per cell
E_tot: -4.997 eV/atom
DOS(E_F): 4.86 states/eV per cell
crystal system: cubic

a b c (Å): 4.3781 4.3781 4.3781
angles (deg): 60.00 60.00 60.00
With the nearest neighbours (Å) after each atom.
Fractional positions:
Ti1 0.7500 0.7500 0.7500  4 Ag 2.68, 4 H 2.68
Ti2 0.2500 0.2500 0.2500  4 Ag 2.68, 4 H 2.68
H1 0.0000 0.0000 0.0000  8 Ti 2.68
Ag1 0.5000 0.5000 0.5000  8 Ti 2.68